Record 1
Crystalline Ca2GaPPd6 at its relaxed geometry. Source: the Alexandria database, functional GGA-PBE.

Calculated values
total energy = -5.0404 eV per atom
total magnetic moment = 0.00 μB/cell
density of states at the Fermi level = 0.329 states/eV per atom
SG = Pmmn
volume = 19.583 A^3/atom
crystal system = orthorhombic

abc: 5.704 8.783 7.817
angles: 90.00 90.00 90.00
Element x y z (fractional)
1 Ca 0.250 0.022 0.225
2 Ca 0.250 0.478 0.225
3 Ca 0.750 0.522 0.775
4 Ca 0.750 0.978 0.775
5 Ga 0.250 0.750 0.782
6 Ga 0.750 0.250 0.218
7 P 0.250 0.250 0.730
8 P 0.750 0.750 0.270
9 Pd 0.010 0.750 0.049
10 Pd 0.011 0.750 0.501
11 Pd 0.250 0.001 0.622
12 Pd 0.250 0.499 0.622
13 Pd 0.489 0.750 0.501
14 Pd 0.490 0.750 0.049
15 Pd 0.510 0.250 0.951
16 Pd 0.511 0.250 0.499
17 Pd 0.750 0.501 0.378
18 Pd 0.750 0.999 0.378
19 Pd 0.989 0.250 0.499
20 Pd 0.990 0.250 0.951

=====

Record 2
Crystalline HfInSb2I at its relaxed geometry. Source: the Alexandria database, functional GGA-PBE.

Calculated values
total energy = -4.4647 eV per atom
total magnetic moment = 0.00 μB/cell
polymorph energy (0 for the lowest one) = 0.0 meV per atom
density of states at the Fermi level = 0.750 states/eV per atom
SG = P4/mmm
volume = 36.297 A^3/atom
crystal system = tetragonal
raw formation energy = 33 meV/atom

abc: 5.521 5.521 5.955
angles: 90.00 90.00 90.00
Element x y z (fractional)
1 Hf 0.000 0.000 0.000
2 In 0.500 0.500 0.500
3 Sb 0.000 0.500 0.000
4 Sb 0.500 0.000 0.000
5 I 0.000 0.000 0.500

=====

Record 3
Crystalline Pr2Nd6Tm3Mg at its relaxed geometry. Source: the Alexandria database, functional GGA-PBE.

Calculated values
total energy = -4.4205 eV per atom
total magnetic moment = 0.00 μB/cell
density of states at the Fermi level = 1.045 states/eV per atom
SG = C2/m
volume = 32.976 A^3/atom
crystal system = monoclinic

abc: 6.249 6.249 11.889
angles: 95.04 95.04 120.03
Element x y z (fractional)
1 Pr 0.167 0.833 0.000
2 Pr 0.833 0.167 0.000
3 Nd 0.086 0.416 0.746
4 Nd 0.253 0.253 0.255
5 Nd 0.416 0.086 0.746
6 Nd 0.584 0.914 0.254
7 Nd 0.747 0.747 0.745
8 Nd 0.914 0.584 0.254
9 Tm 0.000 0.000 0.500
10 Tm 0.334 0.666 0.500
11 Tm 0.666 0.334 0.500
12 Mg 0.500 0.500 0.000

=====

Record 4
Crystalline GaMo at its relaxed geometry. Source: the Alexandria database, functional GGA-PBE.

Calculated values
total energy = -6.0382 eV per atom
total magnetic moment = 0.22 μB/cell
polymorph energy (0 for the lowest one) = 978.1 meV per atom
density of states at the Fermi level = 1.157 states/eV per atom
SG = P6_3/mmc
volume = 20.774 A^3/atom
crystal system = hexagonal

abc: 4.374 4.374 5.015
angles: 90.00 90.00 120.00
Element x y z (fractional)
1 Ga 0.333 0.667 0.250
2 Ga 0.667 0.333 0.750
3 Mo 0.333 0.667 0.750
4 Mo 0.667 0.333 0.250

=====

Record 5
Crystalline CuSiTe2 at its relaxed geometry. Source: the Alexandria database, functional GGA-PBE.

Calculated values
total energy = -3.5647 eV per atom
total magnetic moment = 0.00 μB/cell
density of states at the Fermi level = 0.441 states/eV per atom
SG = Immm
volume = 30.450 A^3/atom
crystal system = orthorhombic
raw formation energy = 386 meV/atom

abc: 6.008 6.008 6.008
angles: 143.44 101.79 89.57
Element x y z (fractional)
1 Cu 0.000 0.000 0.000
2 Si 0.500 0.000 0.500
3 Te 0.243 0.500 0.743
4 Te 0.757 0.500 0.257

=====

Record 6
Crystalline Sb3Mo at its relaxed geometry. Source: the Alexandria database, functional GGA-PBE.

Calculated values
total energy = -5.2018 eV per atom
total magnetic moment = 1.58 μB/cell
polymorph energy (0 for the lowest one) = 438.7 meV per atom
density of states at the Fermi level = 0.796 states/eV per atom
SG = Cmmm
volume = 22.937 A^3/atom
crystal system = orthorhombic
raw formation energy = 598 meV/atom

abc: 5.145 5.145 3.563
angles: 90.00 90.00 103.44
Element x y z (fractional)
1 Sb 0.000 0.000 0.000
2 Sb 0.000 0.500 0.500
3 Sb 0.500 0.000 0.500
4 Mo 0.500 0.500 0.000

=====

Record 7
Crystalline DyY2Pd8 at its relaxed geometry. Source: the Alexandria database, functional GGA-PBE.

Calculated values
total energy = -6.1176 eV per atom
total magnetic moment = 0.00 μB/cell
density of states at the Fermi level = 0.451 states/eV per atom
SG = C2/m
volume = 18.299 A^3/atom
crystal system = monoclinic

abc: 7.714 7.714 6.772
angles: 107.83 107.83 31.79
Element x y z (fractional)
1 Dy 0.000 0.000 0.000
2 Y 0.282 0.282 0.334
3 Y 0.718 0.718 0.666
4 Pd 0.090 0.090 0.450
5 Pd 0.176 0.176 0.906
6 Pd 0.359 0.359 0.822
7 Pd 0.463 0.463 0.282
8 Pd 0.537 0.537 0.718
9 Pd 0.641 0.641 0.178
10 Pd 0.824 0.824 0.094
11 Pd 0.910 0.910 0.550

=====

Record 8
Crystalline MgScAl at its relaxed geometry. Source: the Alexandria database, functional GGA-PBE.

Calculated values
total energy = -3.4878 eV per atom
total magnetic moment = 0.00 μB/cell
density of states at the Fermi level = 0.916 states/eV per atom
SG = F-43m
volume = 25.427 A^3/atom
crystal system = cubic

abc: 4.760 4.760 4.760
angles: 60.00 60.00 60.00
Element x y z (fractional)
1 Mg 0.000 0.000 0.000
2 Sc 0.250 0.250 0.250
3 Al 0.500 0.500 0.500

=====

Record 9
Crystalline MgCdNi2 at its relaxed geometry. Source: the Alexandria database, functional GGA-PBE.

Calculated values
total energy = -3.4849 eV per atom
total magnetic moment = 0.00 μB/cell
density of states at the Fermi level = 0.674 states/eV per atom
SG = F-43m
volume = 14.760 A^3/atom
crystal system = cubic

abc: 4.371 4.371 4.371
angles: 60.00 60.00 60.00
Element x y z (fractional)
1 Mg 0.000 0.000 0.000
2 Cd 0.250 0.250 0.250
3 Ni 0.500 0.500 0.500
4 Ni 0.750 0.750 0.750

=====

Record 10
Crystalline CdTeAu2 at its relaxed geometry. Source: the Alexandria database, functional GGA-PBE.

Calculated values
total energy = -2.5543 eV per atom
total magnetic moment = 0.00 μB/cell
polymorph energy (0 for the lowest one) = 178.1 meV per atom
density of states at the Fermi level = 0.254 states/eV per atom
SG = Fm-3m
volume = 21.802 A^3/atom
crystal system = cubic
raw formation energy = 99 meV/atom

abc: 4.978 4.978 4.978
angles: 60.00 60.00 60.00
Element x y z (fractional)
1 Cd 0.000 0.000 0.000
2 Te 0.500 0.500 0.500
3 Au 0.250 0.250 0.250
4 Au 0.750 0.750 0.750

=====

Record 11
Crystalline Pm6CdI8 at its relaxed geometry. Source: the Alexandria database, functional GGA-PBE.

Calculated values
total energy = -3.8116 eV per atom
total magnetic moment = 0.00 μB/cell
density of states at the Fermi level = 0.369 states/eV per atom
SG = R-3
volume = 38.926 A^3/atom
crystal system = trigonal
raw formation energy = -1024 meV/atom

abc: 12.425 12.425 12.425
angles: 35.70 35.70 35.70
Element x y z (fractional)
1 Pm 0.131 0.448 0.766
2 Pm 0.234 0.869 0.552
3 Pm 0.448 0.766 0.131
4 Pm 0.552 0.234 0.869
5 Pm 0.766 0.131 0.448
6 Pm 0.869 0.552 0.234
7 Cd 0.500 0.500 0.500
8 I 0.052 0.731 0.392
9 I 0.167 0.167 0.167
10 I 0.269 0.608 0.948
11 I 0.392 0.052 0.731
12 I 0.608 0.948 0.269
13 I 0.731 0.392 0.052
14 I 0.833 0.833 0.833
15 I 0.948 0.269 0.608

=====

Record 12
Crystalline Pa4Zn5Ni6 at its relaxed geometry. Source: the Alexandria database, functional GGA-PBE.

Calculated values
total energy = -5.5253 eV per atom
total magnetic moment = 0.00 μB/cell
density of states at the Fermi level = 0.846 states/eV per atom
SG = Cmc2_1
volume = 16.470 A^3/atom
crystal system = orthorhombic

abc: 10.422 10.422 11.710
angles: 90.00 90.00 157.14
Element x y z (fractional)
1 Pa 0.038 0.962 0.500
2 Pa 0.047 0.953 0.245
3 Pa 0.127 0.873 0.000
4 Pa 0.172 0.828 0.601
5 Pa 0.828 0.172 0.101
6 Pa 0.873 0.127 0.500
7 Pa 0.953 0.047 0.745
8 Pa 0.962 0.038 0.000
9 Zn 0.185 0.815 0.331
10 Zn 0.267 0.733 0.918
11 Zn 0.326 0.674 0.298
12 Zn 0.335 0.665 0.695
13 Zn 0.458 0.542 0.362
14 Zn 0.542 0.458 0.862
15 Zn 0.665 0.335 0.195
16 Zn 0.674 0.326 0.798
17 Zn 0.733 0.267 0.418
18 Zn 0.815 0.185 0.831
19 Ni 0.088 0.912 0.777
20 Ni 0.237 0.763 0.134
21 Ni 0.282 0.718 0.499
22 Ni 0.392 0.608 0.901
23 Ni 0.424 0.576 0.148
24 Ni 0.449 0.551 0.587
25 Ni 0.551 0.449 0.087
26 Ni 0.576 0.424 0.648
27 Ni 0.608 0.392 0.401
28 Ni 0.718 0.282 0.999
29 Ni 0.763 0.237 0.634
30 Ni 0.912 0.088 0.277

=====

Record 13
Crystalline DyMg4Cu at its relaxed geometry. Source: the Alexandria database, functional GGA-PBE.

Calculated values
total energy = -2.6167 eV per atom
total magnetic moment = 0.00 μB/cell
density of states at the Fermi level = 0.400 states/eV per atom
SG = Pmma
volume = 22.134 A^3/atom
crystal system = orthorhombic

abc: 8.520 4.246 7.343
angles: 90.00 90.00 90.00
Element x y z (fractional)
1 Dy 0.250 0.000 0.097
2 Dy 0.750 0.000 0.903
3 Mg 0.000 0.000 0.500
4 Mg 0.061 0.500 0.807
5 Mg 0.250 0.500 0.444
6 Mg 0.439 0.500 0.807
7 Mg 0.500 0.000 0.500
8 Mg 0.561 0.500 0.193
9 Mg 0.750 0.500 0.556
10 Mg 0.939 0.500 0.193
11 Cu 0.250 0.000 0.707
12 Cu 0.750 0.000 0.293

=====

Record 14
Crystalline NbCdIn at its relaxed geometry. Source: the Alexandria database, functional GGA-PBE.

Calculated values
total energy = -4.4955 eV per atom
total magnetic moment = 0.00 μB/cell
polymorph energy (0 for the lowest one) = 0.0 meV per atom
density of states at the Fermi level = 0.409 states/eV per atom
SG = P-1
volume = 20.955 A^3/atom
crystal system = triclinic

abc: 5.098 5.854 9.617
angles: 104.94 90.04 114.03
Element x y z (fractional)
1 Nb 0.112 0.243 0.466
2 Nb 0.384 0.752 0.387
3 Nb 0.616 0.248 0.613
4 Nb 0.888 0.757 0.534
5 Cd 0.112 0.262 0.128
6 Cd 0.403 0.769 0.057
7 Cd 0.597 0.231 0.943
8 Cd 0.888 0.738 0.872
9 In 0.107 0.239 0.781
10 In 0.384 0.733 0.691
11 In 0.616 0.267 0.309
12 In 0.893 0.761 0.219

=====

Record 15
Crystalline Pm3NdTh2N6 at its relaxed geometry. Source: the Alexandria database, functional GGA-PBE.

Calculated values
total energy = -8.5076 eV per atom
total magnetic moment = 0.00 μB/cell
density of states at the Fermi level = 0.160 states/eV per atom
SG = C2/m
volume = 17.031 A^3/atom
crystal system = monoclinic
raw formation energy = -1523 meV/atom

abc: 6.309 6.309 6.291
angles: 99.62 99.62 119.99
Element x y z (fractional)
1 Pm 0.000 0.000 0.000
2 Pm 0.334 0.666 0.000
3 Pm 0.666 0.334 0.000
4 Nd 0.500 0.500 0.500
5 Th 0.167 0.833 0.500
6 Th 0.833 0.167 0.500
7 N 0.077 0.419 0.257
8 N 0.239 0.239 0.743
9 N 0.419 0.077 0.257
10 N 0.581 0.923 0.743
11 N 0.761 0.761 0.257
12 N 0.923 0.581 0.743

=====

Record 16
Crystalline RbInCl at its relaxed geometry. Source: the Alexandria database, functional GGA-PBE.

Calculated values
total energy = -2.6547 eV per atom
total magnetic moment = 0.00 μB/cell
density of states at the Fermi level = 0.342 states/eV per atom
SG = Amm2
volume = 35.853 A^3/atom
crystal system = orthorhombic
raw formation energy = -804 meV/atom

abc: 12.527 4.144 4.144
angles: 90.14 90.00 90.00
Element x y z (fractional)
1 Rb 0.156 0.000 0.000
2 Rb 0.844 0.000 0.000
3 In 0.386 0.502 0.502
4 In 0.614 0.502 0.502
5 Cl 0.000 0.500 0.500
6 Cl 0.500 0.003 0.003

=====

Record 17
Crystalline HfZrTi2H at its relaxed geometry. Source: the Alexandria database, functional GGA-PBE.

Calculated values
total energy = -7.5839 eV per atom
total magnetic moment = 0.00 μB/cell
polymorph energy (0 for the lowest one) = 0.0 meV per atom
density of states at the Fermi level = 1.542 states/eV per atom
SG = P4/mmm
volume = 16.237 A^3/atom
crystal system = tetragonal

abc: 4.334 4.334 4.321
angles: 90.00 90.00 90.00
Element x y z (fractional)
1 Hf 0.000 0.000 0.000
2 Zr 0.500 0.500 0.000
3 Ti 0.000 0.500 0.500
4 Ti 0.500 0.000 0.500
5 H 0.500 0.500 0.500

=====

Record 18
Crystalline KCaFe4 at its relaxed geometry. Source: the Alexandria database, functional GGA-PBE.

Calculated values
total energy = -5.4776 eV per atom
total magnetic moment = 10.32 μB/cell
density of states at the Fermi level = 1.002 states/eV per atom
SG = F-43m
volume = 18.619 A^3/atom
crystal system = cubic

abc: 5.406 5.406 5.406
angles: 60.00 60.00 60.00
Element x y z (fractional)
1 K 0.000 0.000 0.000
2 Ca 0.750 0.750 0.750
3 Fe 0.386 0.386 0.386
4 Fe 0.386 0.386 0.843
5 Fe 0.386 0.843 0.386
6 Fe 0.843 0.386 0.386

=====

Record 19
Crystalline LaDy2Pa at its relaxed geometry. Source: the Alexandria database, functional GGA-PBE.

Calculated values
total energy = -5.7778 eV per atom
total magnetic moment = 0.00 μB/cell
polymorph energy (0 for the lowest one) = 0.0 meV per atom
density of states at the Fermi level = 1.609 states/eV per atom
SG = P4/mmm
volume = 30.629 A^3/atom
crystal system = tetragonal

abc: 3.428 3.428 10.425
angles: 90.00 90.00 90.00
Element x y z (fractional)
1 La 0.000 0.000 0.000
2 Dy 0.500 0.500 0.275
3 Dy 0.500 0.500 0.725
4 Pa 0.000 0.000 0.500

=====

Record 20
Crystalline Pr3Ho2Er8 at its relaxed geometry. Source: the Alexandria database, functional GGA-PBE.

Calculated values
total energy = -4.4549 eV per atom
total magnetic moment = 0.00 μB/cell
polymorph energy (0 for the lowest one) = 134.2 meV per atom
density of states at the Fermi level = 1.502 states/eV per atom
SG = P2/m
volume = 33.052 A^3/atom
crystal system = monoclinic

abc: 8.130 5.243 10.422
angles: 90.00 104.70 90.00
Element x y z (fractional)
1 Pr 0.000 0.000 0.000
2 Pr 0.274 0.500 0.931
3 Pr 0.726 0.500 0.069
4 Ho 0.322 0.000 0.407
5 Ho 0.678 0.000 0.593
6 Er 0.111 0.000 0.676
7 Er 0.159 0.500 0.238
8 Er 0.387 0.500 0.617
9 Er 0.462 0.000 0.149
10 Er 0.538 0.000 0.851
11 Er 0.613 0.500 0.383
12 Er 0.841 0.500 0.762
13 Er 0.889 0.000 0.324